Below is an optimized crystal structure of Ce2ErPuSb4, with properties calculated at the PBE level.

Output
The value obtained for the formation energy (no corrections) is -0.830 eV/atom.

Cell: 7.6272 4.4213 7.6449 Å, 90.00 90.15 90.00°
Positions (direct):
Ce (0.0000, 0.0000, 0.0000)
Ce (0.5000, 0.5000, 0.5000)
Er (0.0000, 0.0000, 0.5000)
Pu (0.5000, 0.5000, 0.0000)
Sb (0.1612, 0.5000, 0.2565)
Sb (0.3300, 0.0000, 0.7484)
Sb (0.6700, 0.0000, 0.2516)
Sb (0.8388, 0.5000, 0.7435)

---

Below is an optimized crystal structure of Ce3ErPu2Se6, with properties calculated at the PBE level.

Output
The value obtained for the formation energy (no corrections) is -1.710 eV/atom.

Cell: 7.1856 7.1856 7.2318 Å, 99.53 99.53 120.03°
Positions (direct):
Ce (0.0000, 0.0000, 0.0000)
Ce (0.3313, 0.6687, 0.0000)
Ce (0.6687, 0.3313, 0.0000)
Er (0.5000, 0.5000, 0.5000)
Pu (0.1661, 0.8339, 0.5000)
Pu (0.8339, 0.1661, 0.5000)
Se (0.0913, 0.4203, 0.2603)
Se (0.2523, 0.2523, 0.7428)
Se (0.4203, 0.0913, 0.2603)
Se (0.5797, 0.9087, 0.7397)
Se (0.7477, 0.7477, 0.2572)
Se (0.9087, 0.5797, 0.7397)

---

Below is an optimized crystal structure of CeEr3Pu2Se6, with properties calculated at the PBE level.

Output
The value obtained for the formation energy (no corrections) is -1.693 eV/atom.

Cell: 9.2113 9.2113 8.2666 Å, 104.06 104.06 25.53°
Positions (direct):
Ce (0.0000, 0.0000, 0.0000)
Er (0.0000, 0.0000, 0.5000)
Er (0.3332, 0.3332, 0.1674)
Er (0.6668, 0.6668, 0.8326)
Pu (0.3340, 0.3340, 0.6686)
Pu (0.6660, 0.6660, 0.3314)
Se (0.1651, 0.1651, 0.5874)
Se (0.1701, 0.1701, 0.0780)
Se (0.4976, 0.4976, 0.2593)
Se (0.5024, 0.5024, 0.7407)
Se (0.8299, 0.8299, 0.9220)
Se (0.8349, 0.8349, 0.4126)

---

Below is an optimized crystal structure of CeEr2PuSe4, with properties calculated at the PBE level.

Output
The value obtained for the formation energy (no corrections) is -1.712 eV/atom.

Cell: 7.0506 4.0699 7.2193 Å, 90.00 108.97 90.00°
Positions (direct):
Ce (0.0000, 0.0000, 0.0000)
Er (0.0000, 0.5000, 0.5000)
Er (0.5000, 0.0000, 0.5000)
Pu (0.5000, 0.5000, 0.0000)
Se (0.2484, 0.0000, 0.7386)
Se (0.2568, 0.5000, 0.2636)
Se (0.7432, 0.5000, 0.7364)
Se (0.7516, 0.0000, 0.2614)

---

Below is an optimized crystal structure of CeSmErPu, with properties calculated at the PBE level.

Output
The calculation puts the formation energy at 0.27 eV per atom.

Cell: 5.5970 5.5970 5.5970 Å, 60.00 60.00 60.00°
Positions (direct):
Ce (0.0000, 0.0000, 0.0000)
Sm (0.2500, 0.2500, 0.2500)
Er (0.7500, 0.7500, 0.7500)
Pu (0.5000, 0.5000, 0.5000)

---

Below is an optimized crystal structure of CeErPuSn, with properties calculated at the PBE level.

Output
The calculation puts the formation energy at -0.18 eV per atom.

Cell: 5.2973 5.2973 5.2973 Å, 60.00 60.00 60.00°
Positions (direct):
Ce (0.0000, 0.0000, 0.0000)
Er (0.7500, 0.7500, 0.7500)
Pu (0.2500, 0.2500, 0.2500)
Sn (0.5000, 0.5000, 0.5000)

---

Below is an optimized crystal structure of TbCeErPu, with properties calculated at the PBE level.

Output
The calculation puts the formation energy at 0.27 eV per atom.

Cell: 5.5611 5.5611 5.5611 Å, 60.00 60.00 60.00°
Positions (direct):
Tb (0.0000, 0.0000, 0.0000)
Ce (0.7500, 0.7500, 0.7500)
Er (0.5000, 0.5000, 0.5000)
Pu (0.2500, 0.2500, 0.2500)

---

Below is an optimized crystal structure of Ce2ErPu3Te6, with properties calculated at the PBE level.

Output
The value obtained for the formation energy (no corrections) is -1.207 eV/atom.

Cell: 9.9073 9.9073 8.8859 Å, 102.63 102.63 25.78°
Positions (direct):
Ce (0.1665, 0.1665, 0.3355)
Ce (0.8335, 0.8335, 0.6645)
Er (0.5000, 0.5000, 0.0000)
Pu (0.1693, 0.1693, 0.8354)
Pu (0.5000, 0.5000, 0.5000)
Pu (0.8307, 0.8307, 0.1646)
Te (0.0020, 0.0020, 0.7570)
Te (0.3341, 0.3341, 0.4116)
Te (0.3363, 0.3363, 0.9211)
Te (0.6637, 0.6637, 0.0789)
Te (0.6659, 0.6659, 0.5884)
Te (0.9980, 0.9980, 0.2430)

---

Below is an optimized crystal structure of Ce3ErPu2Te6, with properties calculated at the PBE level.

Output
The value obtained for the formation energy (no corrections) is -1.254 eV/atom.

Cell: 7.6346 7.6346 7.7913 Å, 99.40 99.40 120.00°
Positions (direct):
Ce (0.0000, 0.0000, 0.0000)
Ce (0.3308, 0.6692, 0.0000)
Ce (0.6692, 0.3308, 0.0000)
Er (0.5000, 0.5000, 0.5000)
Pu (0.1660, 0.8340, 0.5000)
Pu (0.8340, 0.1660, 0.5000)
Te (0.0912, 0.4202, 0.2595)
Te (0.2529, 0.2529, 0.7437)
Te (0.4202, 0.0912, 0.2595)
Te (0.5798, 0.9088, 0.7405)
Te (0.7471, 0.7471, 0.2563)
Te (0.9088, 0.5798, 0.7405)

---

Below is an optimized crystal structure of Rb2CeEr2S6, with properties calculated at the PBE level.

Output
The value obtained for the formation energy (no corrections) is -1.852 eV/atom.

Cell: 6.9710 6.9710 8.1891 Å, 98.21 98.21 120.05°
Positions (direct):
Rb (0.1676, 0.8324, 0.0000)
Rb (0.8324, 0.1676, 0.0000)
Ce (0.0000, 0.0000, 0.5000)
Er (0.3337, 0.6663, 0.5000)
Er (0.6663, 0.3337, 0.5000)
S (0.0604, 0.3960, 0.6853)
S (0.2704, 0.2704, 0.3148)
S (0.3960, 0.0604, 0.6853)
S (0.6040, 0.9396, 0.3147)
S (0.7296, 0.7296, 0.6852)
S (0.9396, 0.6040, 0.3147)

---

Below is an optimized crystal structure of Rb2CeErS4, with properties calculated at the PBE level.

Output
The value obtained for the formation energy (no corrections) is -1.800 eV/atom.

Cell: 7.1900 4.1494 8.0389 Å, 90.00 107.29 90.00°
Positions (direct):
Rb (0.0000, 0.0000, 0.0000)
Rb (0.5000, 0.5000, 0.0000)
Ce (0.0000, 0.5000, 0.5000)
Er (0.5000, 0.0000, 0.5000)
S (0.2414, 0.0000, 0.6945)
S (0.2786, 0.5000, 0.3086)
S (0.7214, 0.5000, 0.6914)
S (0.7586, 0.0000, 0.3055)

---

Below is an optimized crystal structure of Rb3CeEr3Se8, with properties calculated at the PBE level.

Output
The value obtained for the formation energy (no corrections) is -1.720 eV/atom.

Cell: 9.4520 9.4520 9.4520 Å, 52.51 52.51 52.51°
Positions (direct):
Rb (0.0000, 0.5000, 0.5000)
Rb (0.5000, 0.0000, 0.5000)
Rb (0.5000, 0.5000, 0.0000)
Ce (0.5000, 0.5000, 0.5000)
Er (0.0000, 0.0000, 0.5000)
Er (0.0000, 0.5000, 0.0000)
Er (0.5000, 0.0000, 0.0000)
Se (0.2284, 0.7315, 0.7315)
Se (0.2309, 0.2309, 0.2309)
Se (0.2685, 0.2685, 0.7716)
Se (0.2685, 0.7716, 0.2685)
Se (0.7315, 0.2284, 0.7315)
Se (0.7315, 0.7315, 0.2284)
Se (0.7691, 0.7691, 0.7691)
Se (0.7716, 0.2685, 0.2685)

---

no.,theoretical density (g cm⁻³)
1,7.591
2,8.435
3,9.096
4,8.768
5,9.399
6,10.586
7,9.699
8,8.736
9,8.226
10,4.216
11,4.399
12,5.162